First-principles (GGA-PBE) data for BaZrTe2 after structural relaxation, as listed in the Alexandria database.

Summary:
SG ... I-4m2 (119)
Relative energy among the computed polymorphs ... 624 meV/atom
Uncorrected formation energy ... -0.47 eV per atom
V ... 132.4 Å³ per cell

Structure (POSCAR):
```
BaZrTe2
1.0
-5.627 4.311 -0.324
-3.845 1.361 -5.806
2.789 -5.324 3.771
Te Zr Ba
2 1 1
direct
0.250 0.750 0.500
0.000 0.000 0.000
0.500 0.500 0.000
0.750 0.250 0.500
```

=====

First-principles (GGA-PBE) data for Pr8DyTm6 after structural relaxation, as listed in the Alexandria database.

Summary:
SG ... P-3 (147)
Energy relative to the elements ... 0.177 eV per atom
V ... 507.3 Å³ per cell

Structure (POSCAR):
```
Pr8DyTm6
1.0
-2.963 -1.905 -5.544
8.416 -0.914 -4.185
-3.826 -7.329 4.563
Dy Pr Tm
1 8 6
direct
0.500 0.000 0.000
0.830 0.711 0.751
0.122 0.667 0.333
0.170 0.289 0.249
0.170 0.960 0.711
0.878 0.333 0.667
0.830 0.040 0.289
0.830 0.249 0.960
0.170 0.751 0.040
0.343 0.561 0.658
0.343 0.342 0.903
0.657 0.658 0.097
0.657 0.903 0.561
0.343 0.097 0.439
0.657 0.439 0.342
```